[1]
A relaxed Sm3Ho5Tm4 crystal, computed with PBE.

a b c (Å): 6.1233 7.0747 8.6539
angles (deg): 90.00 90.06 90.12
With the nearest neighbours (Å) after each atom.
Fractional coordinates of all 12 atoms:
Sm 0.0000 0.0000 0.0000  8 Ho 3.53-3.55, 2 Sm 3.54, 2 Tm 3.54
Sm 0.1662 0.7490 0.6661  6 Tm 3.52-3.55, 5 Ho 3.53-3.55, 1 Sm 3.54
Sm 0.8338 0.2510 0.3339  6 Tm 3.52-3.55, 5 Ho 3.53-3.55, 1 Sm 3.54
Ho 0.0000 0.5000 0.0000  4 Ho 3.53, 4 Tm 3.53-3.54, 4 Sm 3.53-3.54
Ho 0.3344 0.0001 0.3335  3 Ho 3.52-3.54, 5 Tm 3.53-3.55, 4 Sm 3.53-3.55
Ho 0.4988 0.2512 0.9999  6 Ho 3.52-3.55, 3 Tm 3.53, 3 Sm 3.53-3.55
Ho 0.5012 0.7488 0.0001  6 Ho 3.52-3.55, 3 Tm 3.53, 3 Sm 3.53-3.55
Ho 0.6656 0.9999 0.6665  3 Ho 3.52-3.54, 5 Tm 3.53-3.55, 4 Sm 3.53-3.55
Tm 0.1679 0.2510 0.6662  3 Tm 3.52-3.54, 4 Sm 3.52-3.55, 5 Ho 3.53-3.55
Tm 0.3336 0.5001 0.3335  4 Tm 3.52-3.54, 3 Sm 3.53-3.54, 5 Ho 3.53-3.54
Tm 0.6664 0.4999 0.6665  4 Tm 3.52-3.54, 3 Sm 3.53-3.54, 5 Ho 3.53-3.54
Tm 0.8321 0.7490 0.3338  3 Tm 3.52-3.54, 4 Sm 3.52-3.55, 5 Ho 3.53-3.55

Values from the calculation:
* space group: P-1 (2)
* ΔE_f: 0.02 eV per atom
* volume: 374.9 Å³ per cell
* polymorph energy (0 for the lowest one): 0.0 meV/atom

---

[2]
A relaxed BaEuBi4 crystal, computed with PBE.

a b c (Å): 6.7462 6.7462 6.7462
angles (deg): 60.00 60.00 60.00
With the nearest neighbours (Å) after each atom.
Fractional coordinates of all 6 atoms:
Ba 0.0000 0.0000 0.0000  12 Bi 3.96, 4 Eu 4.13
Eu 0.7500 0.7500 0.7500  12 Bi 3.95, 4 Ba 4.13
Bi 0.3754 0.3754 0.3754  6 Bi 3.36-3.39
Bi 0.3754 0.3754 0.8737  6 Bi 3.36-3.39
Bi 0.3754 0.8737 0.3754  6 Bi 3.36-3.39
Bi 0.8737 0.3754 0.3754  6 Bi 3.36-3.39

Values from the calculation:
* space group: F-43m (216)
* ΔE_f: -0.47 eV per atom
* volume: 217.1 Å³ per cell

---

[3]
A relaxed GaSiPd2 crystal, computed with PBE.

a b c (Å): 6.1024 6.1024 6.1024
angles (deg): 119.81 119.81 90.33
With the nearest neighbours (Å) after each atom.
Fractional coordinates of all 8 atoms:
Ga 0.0000 0.0000 0.0000  4 Pd 2.51
Ga 0.7500 0.2500 0.5000  4 Pd 2.51
Si 0.2500 0.7500 0.5000  4 Pd 2.33
Si 0.5000 0.5000 0.0000  4 Pd 2.33
Pd 0.1480 0.6250 0.0230  2 Si 2.33, 2 Ga 2.51
Pd 0.3750 0.3980 0.5230  2 Si 2.33, 2 Ga 2.51
Pd 0.6020 0.1250 0.9770  2 Si 2.33, 2 Ga 2.51
Pd 0.8750 0.8520 0.4770  2 Si 2.33, 2 Ga 2.51

Values from the calculation:
* space group: I-42d (122)
* volume: 161.2 Å³ per cell
* DFT total energy: -38.3 eV for the cell shown